Below is a relaxed structure of Na3GaAg, with properties calculated at the PBE-GGA level.

a b c (Å): 10.790 9.162 7.311
angles (deg): 90.00 126.97 90.00
Space group C2/m (No. 12)
Symmetry-distinct sites (fractional):
Na  0.049  0.000  0.277
Na  0.212  0.307  0.199
Ga  0.087  0.500  0.413
Ag  0.217  0.500  0.858

Summary:
E above lowest polymorph ... 0 meV/atom
Formation enthalpy at 0 K ... 26 meV per atom
DOS at the Fermi energy ... 6.84 states/eV/cell